SmDy2Er: relaxed, PBE.

a = 3.6310 Å, b = 11.3373 Å, c = 6.2594 Å
α = 90.00°, β = 90.00°, γ = 90.00°
Fractional positions:
1 Sm 0.0000 0.0000 0.0000
2 Sm 0.5000 0.5000 0.5000
3 Dy 0.0000 0.2484 0.6652
4 Dy 0.0000 0.7516 0.6652
5 Dy 0.5000 0.2516 0.1652
6 Dy 0.5000 0.7484 0.1652
7 Er 0.0000 0.5000 0.9974
8 Er 0.5000 0.0000 0.4974

Output
magnetization	0.00	μB/cell
D(E_F)	13.8	states/eV per cell
offset from the most stable computed form	0	meV/atom



Sm6DyEr2: relaxed, PBE.

a = 3.5936 Å, b = 8.7966 Å, c = 9.4951 Å
α = 90.11°, β = 100.88°, γ = 90.06°
Fractional positions:
1 Sm 0.1100 0.1653 0.2189
2 Sm 0.2213 0.8337 0.4421
3 Sm 0.3335 0.5007 0.6692
4 Sm 0.6665 0.4993 0.3308
5 Sm 0.7787 0.1663 0.5579
6 Sm 0.8900 0.8347 0.7811
7 Dy 0.0000 0.5000 0.0000
8 Er 0.4446 0.1679 0.8903
9 Er 0.5554 0.8321 0.1097

Output
magnetization	0.00	μB/cell
D(E_F)	12.8	states/eV per cell
offset from the most stable computed form	0	meV/atom



Sm2Dy3Er4: relaxed, PBE.

a = 9.9431 Å, b = 9.9431 Å, c = 6.1011 Å
α = 94.92°, β = 94.92°, γ = 70.88°
Fractional positions:
1 Sm 0.0210 0.7331 0.6776
2 Sm 0.2669 0.9790 0.8224
3 Sm 0.7331 0.0210 0.1776
4 Sm 0.9790 0.2669 0.3224
5 Dy 0.0969 0.9031 0.2500
6 Dy 0.2380 0.4323 0.4037
7 Dy 0.4323 0.2380 0.9037
8 Dy 0.5677 0.7620 0.0963
9 Dy 0.7620 0.5677 0.5963
10 Dy 0.9031 0.0969 0.7500
11 Er 0.0767 0.3549 0.8484
12 Er 0.3132 0.5949 0.9847
13 Er 0.3549 0.0767 0.3484
14 Er 0.4051 0.6868 0.5153
15 Er 0.5949 0.3132 0.4847
16 Er 0.6451 0.9233 0.6516
17 Er 0.6868 0.4051 0.0153
18 Er 0.9233 0.6451 0.1516

Output
magnetization	0.00	μB/cell
E	-0.33166	Ry per atom
D(E_F)	25.2	states/eV per cell